! BeGeTe2 (GGA-PBEsol, relaxed); values from VASP
&SYSTEM
  ibrav = 0, nat = 8, ntyp = 3
/
ATOMIC_SPECIES
Be 9.01 Be.upf
Ge 72.64 Ge.upf
Te 127.60 Te.upf
ATOMIC_POSITIONS crystal
Be 0.000 0.000 0.000
Be 0.750 0.250 0.500
Ge 0.250 0.750 0.500
Ge 0.500 0.500 0.000
Te 0.065 0.625 0.940
Te 0.375 0.315 0.440
Te 0.685 0.125 0.060
Te 0.875 0.935 0.560
CELL_PARAMETERS angstrom
-3.183 3.183 5.531
3.183 -3.183 5.531
3.183 3.183 -5.531
! total energy: -3.990 eV per atom
! SG: No. 122
! total moment: 0.0 μB per cell
! uncorrected formation energy: 0.0081 eV per atom